Entry 1:
# TbMg2Pd5, relaxed, DFT PBE
# SG = I4/mmm, No. 139
# Formation energy = -0.78 eV/atom
# D(E_F) = 0.310 states/eV per atom
data_TbMg2Pd5
_chemical_formula_sum 'Tb1 Mg2 Pd5'
_space_group_name_H-M_alt 'P 1'
_space_group_IT_number 1
_cell_length_a 4.2209
_cell_length_b 4.2209
_cell_length_c 8.1505
_cell_angle_alpha 105.01
_cell_angle_beta 105.01
_cell_angle_gamma 90.00
loop_
_space_group_symop_operation_xyz
'x,y,z'
loop_
_atom_site_label
_atom_site_fract_x
_atom_site_fract_y
_atom_site_fract_z
_atom_site_occupancy
Tb1 0.0000 0.0000 0.0000 1
Mg1 0.7481 0.7481 0.4962 1
Mg2 0.2519 0.2519 0.5038 1
Pd1 0.5000 0.5000 0.0000 1
Pd2 0.8644 0.3644 0.7288 1
Pd3 0.3644 0.8644 0.7288 1
Pd4 0.1356 0.6356 0.2712 1
Pd5 0.6356 0.1356 0.2712 1

***

Entry 2:
# HfZr2Cr2, relaxed, DFT PBE
# SG = P4/mbm, No. 127
# Formation energy = 0.21 eV/atom
# D(E_F) = 1.242 states/eV per atom
data_HfZr2Cr2
_chemical_formula_sum 'Hf2 Zr4 Cr4'
_space_group_name_H-M_alt 'P 1'
_space_group_IT_number 1
_cell_length_a 7.5458
_cell_length_b 7.5458
_cell_length_c 3.2748
_cell_angle_alpha 90.00
_cell_angle_beta 90.00
_cell_angle_gamma 90.00
loop_
_space_group_symop_operation_xyz
'x,y,z'
loop_
_atom_site_label
_atom_site_fract_x
_atom_site_fract_y
_atom_site_fract_z
_atom_site_occupancy
Cr1 0.4076 0.9076 0.0000 1
Cr2 0.9076 0.5924 0.0000 1
Cr3 0.5924 0.0924 0.0000 1
Cr4 0.0924 0.4076 0.0000 1
Hf1 0.0000 0.0000 0.0000 1
Hf2 0.5000 0.5000 0.0000 1
Zr1 0.2008 0.7008 0.5000 1
Zr2 0.7008 0.7992 0.5000 1
Zr3 0.7992 0.2992 0.5000 1
Zr4 0.2992 0.2008 0.5000 1

***

Entry 3:
# ThZnGa3, relaxed, DFT PBE
# SG = Cm, No. 8
# Formation energy = -0.37 eV/atom
# D(E_F) = 0.441 states/eV per atom
data_ThZnGa3
_chemical_formula_sum 'Th1 Zn1 Ga3'
_space_group_name_H-M_alt 'P 1'
_space_group_IT_number 1
_cell_length_a 4.3662
_cell_length_b 4.3670
_cell_length_c 6.0091
_cell_angle_alpha 68.65
_cell_angle_beta 68.65
_cell_angle_gamma 90.11
loop_
_space_group_symop_operation_xyz
'x,y,z'
loop_
_atom_site_label
_atom_site_fract_x
_atom_site_fract_y
_atom_site_fract_z
_atom_site_occupancy
Th1 0.3976 0.2010 0.9107 1
Zn1 0.0235 0.8269 0.6588 1
Ga1 0.6499 0.9521 0.4066 1
Ga2 0.1485 0.4534 0.4067 1
Ga3 0.7883 0.5917 0.1283 1

***

Entry 4:
# Y6Ho2Tm3Sc, relaxed, DFT PBE
# SG = C2/m, No. 12
# Formation energy = 0.04 eV/atom
# D(E_F) = 1.527 states/eV per atom
data_Y6Ho2Tm3Sc
_chemical_formula_sum 'Y6 Ho2 Tm3 Sc1'
_space_group_name_H-M_alt 'P 1'
_space_group_IT_number 1
_cell_length_a 6.0911
_cell_length_b 6.0911
_cell_length_c 11.6650
_cell_angle_alpha 94.99
_cell_angle_beta 94.99
_cell_angle_gamma 119.95
loop_
_space_group_symop_operation_xyz
'x,y,z'
loop_
_atom_site_label
_atom_site_fract_x
_atom_site_fract_y
_atom_site_fract_z
_atom_site_occupancy
Y1 0.9177 0.5866 0.7515 1
Y2 0.7510 0.7510 0.2487 1
Y3 0.0823 0.4134 0.2485 1
Y4 0.5866 0.9177 0.7515 1
Y5 0.2490 0.2490 0.7513 1
Y6 0.4134 0.0823 0.2485 1
Ho1 0.3334 0.6666 0.0000 1
Ho2 0.6666 0.3334 0.0000 1
Tm1 0.1665 0.8335 0.5000 1
Tm2 0.8335 0.1665 0.5000 1
Tm3 0.5000 0.5000 0.5000 1
Sc1 0.0000 0.0000 0.0000 1

***

Entry 5:
# Ce2Te2H, relaxed, DFT PBE
# SG = Ibam, No. 72
# D(E_F) = 2.728 states/eV per atom
data_Ce2Te2H
_chemical_formula_sum 'Ce4 Te4 H2'
_space_group_name_H-M_alt 'P 1'
_space_group_IT_number 1
_cell_length_a 6.2612
_cell_length_b 6.4109
_cell_length_c 7.8388
_cell_angle_alpha 114.14
_cell_angle_beta 113.54
_cell_angle_gamma 90.00
loop_
_space_group_symop_operation_xyz
'x,y,z'
loop_
_atom_site_label
_atom_site_fract_x
_atom_site_fract_y
_atom_site_fract_z
_atom_site_occupancy
Ce1 0.3977 0.6006 0.7954 1
Ce2 0.6023 0.3994 0.2046 1
Ce3 0.1023 0.8052 0.2046 1
Ce4 0.8977 0.1948 0.7954 1
Te1 0.8558 0.6526 0.7117 1
Te2 0.1442 0.3474 0.2883 1
Te3 0.6442 0.9409 0.2883 1
Te4 0.3558 0.0591 0.7117 1
H1 0.7500 0.5000 0.0000 1
H2 0.2500 0.5000 0.0000 1

***

Entry 6:
# SrMg6Au4, relaxed, DFT PBE
# SG = P-6m2, No. 187
# Formation energy = -0.56 eV/atom
# D(E_F) = 0.542 states/eV per atom
data_SrMg6Au4
_chemical_formula_sum 'Sr1 Mg6 Au4'
_space_group_name_H-M_alt 'P 1'
_space_group_IT_number 1
_cell_length_a 4.3491
_cell_length_b 7.9493
_cell_length_c 7.9493
_cell_angle_alpha 120.00
_cell_angle_beta 90.00
_cell_angle_gamma 90.00
loop_
_space_group_symop_operation_xyz
'x,y,z'
loop_
_atom_site_label
_atom_site_fract_x
_atom_site_fract_y
_atom_site_fract_z
_atom_site_occupancy
Sr1 0.0000 0.0000 0.0000 1
Mg1 0.0000 0.5345 0.0689 1
Mg2 0.5000 0.5965 0.7982 1
Mg3 0.0000 0.5345 0.4655 1
Mg4 0.0000 0.9311 0.4655 1
Mg5 0.5000 0.2018 0.7982 1
Mg6 0.5000 0.2018 0.4035 1
Au1 0.5000 0.8022 0.6044 1
Au2 0.5000 0.3956 0.1978 1
Au3 0.5000 0.8022 0.1978 1
Au4 0.0000 0.3333 0.6667 1

***

Number 1: total magnetic moment 0.000 μB/cell, electronic total energy -5.003 eV per atom. Number 2: total magnetic moment 0.001 μB/cell, electronic total energy -9.048 eV per atom. Number 3: total magnetic moment 0.000 μB/cell, electronic total energy -3.929 eV per atom. Number 4: total magnetic moment 0.000 μB/cell, electronic total energy -5.604 eV per atom. Number 5: total magnetic moment 5.400 μB/cell, electronic total energy -5.471 eV per atom. Number 6: total magnetic moment 0.000 μB/cell, electronic total energy -2.778 eV per atom.